No. 1
Entry from Alexandria: a geometry-optimized YB2MoP structure (PBE-GGA).

```
YB2MoP
1.0
4.264 0.000 0.000
0.000 4.984 0.000
0.000 0.000 4.264
Y P Mo B
1 1 1 2
direct
0.000 0.000 0.000
0.000 0.500 0.000
0.500 0.500 0.500
0.000 0.000 0.500
0.500 0.000 0.000
```

Summary:
total DFT energy (no corrections)	-25.118	eV for the cell shown
density	4.4	g/cm3
space-group type	P4/mmm (123)

=====

No. 2
Entry from Alexandria: a geometry-optimized ScCd2Os structure (PBE-GGA).

```
ScCd2Os
1.0
3.353 0.000 0.000
0.000 3.353 0.000
0.000 0.000 6.886
Cd Os Sc
2 1 1
direct
0.000 0.000 0.003
0.500 0.500 0.270
0.000 0.000 0.520
0.500 0.500 0.707
```

Summary:
density	9.9	g/cm3
space-group type	P4mm (99)
energy above the most stable polymorph in this dataset	0.024	eV/atom

=====

No. 3
Entry from Alexandria: a geometry-optimized K2CdI2 structure (PBE-GGA).

```
K2CdI2
1.0
9.800 0.000 0.000
0.000 9.800 0.000
0.000 0.000 4.469
I K Cd
4 4 2
direct
0.156 0.656 0.500
0.656 0.844 0.500
0.844 0.344 0.500
0.344 0.156 0.500
0.356 0.856 0.000
0.856 0.644 0.000
0.644 0.144 0.000
0.144 0.356 0.000
0.000 0.000 0.000
0.500 0.500 0.000
```

Summary:
ΔE_f (raw)	-1.00	eV/atom
density	3.4	g/cm3
space-group type	P4/mbm (127)
energy above the most stable polymorph in this dataset	0.000	eV/atom